[1]
First-principles (PBE-GGA) data for a geometry-optimized Ba2SiSe structure, as listed in Alexandria.

Cell lengths 7.9074, 7.9074, 7.9074 Å; angles 90.00, 90.00, 90.00 degrees
With the nearest neighbours (Å) after each atom.
Space group F-43m (No. 216)
Asymmetric unit:
Ba  0.0000  0.0000  0.0000 [4 per cell]  4 Ba 3.42, 4 Si 3.42
Ba  0.2500  0.2500  0.2500 [4 per cell]  4 Se 3.42, 4 Ba 3.42
Si  0.2500  0.2500  0.7500 [4 per cell]  4 Ba 3.42, 4 Se 3.42
Se  0.0000  0.0000  0.5000 [4 per cell]  4 Si 3.42, 4 Ba 3.42

Values from the calculation:
formation energy from raw total energies = -78 kJ/mol of formula units
relative energy among the computed polymorphs = 0.669 eV per atom



[2]
First-principles (PBE-GGA) data for a geometry-optimized Ba2SiSe structure, as listed in Alexandria.

Cell lengths 4.5260, 4.5260, 26.0316 Å; angles 90.00, 90.00, 120.00 degrees
With the nearest neighbours (Å) after each atom.
Space group R-3m (No. 166, hexagonal axes)
Asymmetric unit:
Ba  0.0000  0.0000  0.2435 [6 per cell]  3 Se 3.29, 3 Si 3.51
Si  0.0000  0.0000  0.0000 [3 per cell]  6 Ba 3.51
Se  0.0000  0.0000  0.5000 [3 per cell]  6 Ba 3.29

Values from the calculation:
formation energy from raw total energies = -332 kJ/mol of formula units
relative energy among the computed polymorphs = 0.011 eV per atom



[3]
First-principles (PBE-GGA) data for a geometry-optimized BaSiSe3 structure, as listed in Alexandria.

Cell lengths 6.4391, 9.0349, 12.9868 Å; angles 90.00, 109.89, 90.00 degrees
With the nearest neighbours (Å) after each atom.
Space group P2_1/c (No. 14)
Asymmetric unit:
Ba  0.1526  0.1753  0.1917 [4 per cell]  7 Se 3.34-3.65, 1 Si 3.69
Si  0.0972  0.6091  0.0958 [4 per cell]  4 Se 2.24-2.38
Se  0.0563  0.1665  0.9152 [4 per cell]  1 Si 2.24
Se  0.2014  0.5612  0.9430 [4 per cell]  2 Si 2.34-2.38
Se  0.3387  0.5414  0.2581 [4 per cell]  1 Si 2.24

Values from the calculation:
formation energy from raw total energies = -536 kJ/mol of formula units
relative energy among the computed polymorphs = 0.014 eV per atom



[4]
First-principles (PBE-GGA) data for a geometry-optimized BaSiSe2 structure, as listed in Alexandria.

Cell lengths 4.3831, 4.3831, 11.3097 Å; angles 90.00, 90.00, 90.00 degrees
With the nearest neighbours (Å) after each atom.
Space group I-4m2 (No. 119)
Asymmetric unit:
Ba  0.0000  0.0000  0.0000 [2 per cell]  4 Se 3.10
Si  0.0000  0.5000  0.2500 [2 per cell]  4 Se 3.10
Se  0.0000  0.0000  0.5000 [2 per cell]  4 Ba 3.10
Se  0.0000  0.5000  0.7500 [2 per cell]  4 Si 3.10

Values from the calculation:
formation energy from raw total energies = -170 kJ/mol of formula units
relative energy among the computed polymorphs = 0.559 eV per atom